Entry 1:
# SmMgSn (PBE-GGA, optimized geometry)
# raw total energy	-45.4	eV for the cell shown
# calculated volume	356.97	Å³/cell
# mass density	5.5	g/cm3
# spin magnetization	0.02	μB/cell
data_SmMgSn
_chemical_formula_sum 'Sm4 Mg4 Sn4'
_space_group_name_H-M_alt 'F -4 3 m'
_space_group_IT_number 216
_space_group_name_Hall 'F -4 2 3'
_cell_length_a 7.094
_cell_length_b 7.094
_cell_length_c 7.094
_cell_angle_alpha 90.00
_cell_angle_beta 90.00
_cell_angle_gamma 90.00
loop_
_atom_site_label
_atom_site_type_symbol
_atom_site_fract_x
_atom_site_fract_y
_atom_site_fract_z
Sm1 Sm 0.000 0.000 0.000
Mg1 Mg 0.000 0.000 0.500
Sn1 Sn 0.250 0.250 0.750

---

Entry 2:
# SmMgSn2 (PBE-GGA, optimized geometry)
# raw total energy	-16.4	eV for the cell shown
# calculated volume	101.52	Å³/cell
# mass density	6.7	g/cm3
# spin magnetization	0.00	μB/cell
data_SmMgSn2
_chemical_formula_sum 'Sm1 Mg1 Sn2'
_space_group_name_H-M_alt 'P 4/m m m'
_space_group_IT_number 123
_space_group_name_Hall '-P 4 2'
_cell_length_a 4.794
_cell_length_b 4.794
_cell_length_c 4.417
_cell_angle_alpha 90.00
_cell_angle_beta 90.00
_cell_angle_gamma 90.00
loop_
_atom_site_label
_atom_site_type_symbol
_atom_site_fract_x
_atom_site_fract_y
_atom_site_fract_z
Sm1 Sm 0.000 0.000 0.000
Mg1 Mg 0.500 0.500 0.000
Sn1 Sn 0.000 0.500 0.500

---

Entry 3:
# SmMgSn (PBE-GGA, optimized geometry)
# raw total energy	-41.7	eV for the cell shown
# calculated volume	378.53	Å³/cell
# mass density	5.1	g/cm3
# spin magnetization	0.00	μB/cell
data_SmMgSn
_chemical_formula_sum 'Sm4 Mg4 Sn4'
_space_group_name_H-M_alt 'F -4 3 m'
_space_group_IT_number 216
_space_group_name_Hall 'F -4 2 3'
_cell_length_a 7.234
_cell_length_b 7.234
_cell_length_c 7.234
_cell_angle_alpha 90.00
_cell_angle_beta 90.00
_cell_angle_gamma 90.00
loop_
_atom_site_label
_atom_site_type_symbol
_atom_site_fract_x
_atom_site_fract_y
_atom_site_fract_z
Sm1 Sm 0.000 0.000 0.000
Mg1 Mg 0.250 0.250 0.750
Sn1 Sn 0.250 0.250 0.250

---

Entry 4:
# TbSmMg2Sn2 (PBE-GGA, optimized geometry)
# raw total energy	-48.0	eV for the cell shown
# calculated volume	314.65	Å³/cell
# mass density	6.3	g/cm3
# spin magnetization	0.01	μB/cell
data_TbSmMg2Sn2
_chemical_formula_sum 'Tb2 Sm2 Mg4 Sn4'
_space_group_name_H-M_alt 'I 4 m m'
_space_group_IT_number 107
_space_group_name_Hall 'I 4 -2'
_cell_length_a 4.435
_cell_length_b 4.435
_cell_length_c 15.999
_cell_angle_alpha 90.00
_cell_angle_beta 90.00
_cell_angle_gamma 90.00
loop_
_atom_site_label
_atom_site_type_symbol
_atom_site_fract_x
_atom_site_fract_y
_atom_site_fract_z
Tb1 Tb 0.000 0.000 0.000
Sm1 Sm 0.000 0.000 0.332
Mg1 Mg 0.000 0.500 0.165
Sn1 Sn 0.000 0.000 0.531
Sn2 Sn 0.000 0.000 0.800

---

Entry 5:
# SmMgTa (PBE-GGA, optimized geometry)
# calculated volume	317.76	Å³/cell
# mass density	7.4	g/cm3
# spin magnetization	0.09	μB/cell
# E above lowest polymorph	0	meV/atom
data_SmMgTa
_chemical_formula_sum 'Sm4 Mg4 Ta4'
_space_group_name_H-M_alt 'F -4 3 m'
_space_group_IT_number 216
_space_group_name_Hall 'F -4 2 3'
_cell_length_a 6.824
_cell_length_b 6.824
_cell_length_c 6.824
_cell_angle_alpha 90.00
_cell_angle_beta 90.00
_cell_angle_gamma 90.00
loop_
_atom_site_label
_atom_site_type_symbol
_atom_site_fract_x
_atom_site_fract_y
_atom_site_fract_z
Sm1 Sm 0.000 0.000 0.000
Mg1 Mg 0.250 0.250 0.250
Ta1 Ta 0.000 0.000 0.500

---

Entry 6:
# SmMgTa (PBE-GGA, optimized geometry)
# calculated volume	347.35	Å³/cell
# mass density	6.8	g/cm3
# spin magnetization	7.96	μB/cell
# E above lowest polymorph	361	meV/atom
data_SmMgTa
_chemical_formula_sum 'Sm4 Mg4 Ta4'
_space_group_name_H-M_alt 'F -4 3 m'
_space_group_IT_number 216
_space_group_name_Hall 'F -4 2 3'
_cell_length_a 7.029
_cell_length_b 7.029
_cell_length_c 7.029
_cell_angle_alpha 90.00
_cell_angle_beta 90.00
_cell_angle_gamma 90.00
loop_
_atom_site_label
_atom_site_type_symbol
_atom_site_fract_x
_atom_site_fract_y
_atom_site_fract_z
Sm1 Sm 0.000 0.000 0.000
Mg1 Mg 0.250 0.250 0.750
Ta1 Ta 0.250 0.250 0.250

---

Entry 7:
# TbSmMg (PBE-GGA, optimized geometry)
# calculated volume	417.92	Å³/cell
# mass density	5.3	g/cm3
# spin magnetization	2.25	μB/cell
# E above lowest polymorph	0	meV/atom
data_TbSmMg
_chemical_formula_sum 'Tb4 Sm4 Mg4'
_space_group_name_H-M_alt 'F -4 3 m'
_space_group_IT_number 216
_space_group_name_Hall 'F -4 2 3'
_cell_length_a 7.476
_cell_length_b 7.476
_cell_length_c 7.476
_cell_angle_alpha 90.00
_cell_angle_beta 90.00
_cell_angle_gamma 90.00
loop_
_atom_site_label
_atom_site_type_symbol
_atom_site_fract_x
_atom_site_fract_y
_atom_site_fract_z
Tb1 Tb 0.000 0.000 0.000
Sm1 Sm 0.000 0.000 0.500
Mg1 Mg 0.250 0.250 0.750

---

Entry 8:
# SmMgTe (PBE-GGA, optimized geometry)
# calculated volume	388.34	Å³/cell
# mass density	5.2	g/cm3
# spin magnetization	2.82	μB/cell
# E above lowest polymorph	0	meV/atom
data_SmMgTe
_chemical_formula_sum 'Sm4 Mg4 Te4'
_space_group_name_H-M_alt 'F -4 3 m'
_space_group_IT_number 216
_space_group_name_Hall 'F -4 2 3'
_cell_length_a 7.296
_cell_length_b 7.296
_cell_length_c 7.296
_cell_angle_alpha 90.00
_cell_angle_beta 90.00
_cell_angle_gamma 90.00
loop_
_atom_site_label
_atom_site_type_symbol
_atom_site_fract_x
_atom_site_fract_y
_atom_site_fract_z
Sm1 Sm 0.000 0.000 0.000
Mg1 Mg 0.000 0.000 0.500
Te1 Te 0.250 0.250 0.750

---

Entry 9:
# SmMgTe (PBE-GGA, optimized geometry)
# calculated volume	401.63	Å³/cell
# mass density	5.0	g/cm3
# spin magnetization	1.40	μB/cell
# E above lowest polymorph	47	meV/atom
data_SmMgTe
_chemical_formula_sum 'Sm4 Mg4 Te4'
_space_group_name_H-M_alt 'F -4 3 m'
_space_group_IT_number 216
_space_group_name_Hall 'F -4 2 3'
_cell_length_a 7.378
_cell_length_b 7.378
_cell_length_c 7.378
_cell_angle_alpha 90.00
_cell_angle_beta 90.00
_cell_angle_gamma 90.00
loop_
_atom_site_label
_atom_site_type_symbol
_atom_site_fract_x
_atom_site_fract_y
_atom_site_fract_z
Sm1 Sm 0.000 0.000 0.000
Mg1 Mg 0.250 0.250 0.750
Te1 Te 0.250 0.250 0.250

---

Entry 10:
# SmMgTl2 (PBE-GGA, optimized geometry)
# raw total energy	-12.2	eV for the cell shown
# calculated volume	103.59	Å³/cell
# mass density	9.4	g/cm3
# spin magnetization	0.01	μB/cell
data_SmMgTl2
_chemical_formula_sum 'Sm1 Mg1 Tl2'
_space_group_name_H-M_alt 'P 4/m m m'
_space_group_IT_number 123
_space_group_name_Hall '-P 4 2'
_cell_length_a 4.784
_cell_length_b 4.784
_cell_length_c 4.526
_cell_angle_alpha 90.00
_cell_angle_beta 90.00
_cell_angle_gamma 90.00
loop_
_atom_site_label
_atom_site_type_symbol
_atom_site_fract_x
_atom_site_fract_y
_atom_site_fract_z
Sm1 Sm 0.000 0.000 0.000
Mg1 Mg 0.500 0.500 0.000
Tl1 Tl 0.000 0.500 0.500

---

Entry 11:
# Sm5MgTl3 (PBE-GGA, optimized geometry)
# raw total energy	-69.8	eV for the cell shown
# calculated volume	524.83	Å³/cell
# mass density	8.8	g/cm3
# spin magnetization	0.34	μB/cell
data_Sm5MgTl3
_chemical_formula_sum 'Sm10 Mg2 Tl6'
_space_group_name_H-M_alt 'P 63/m c m'
_space_group_IT_number 193
_space_group_name_Hall '-P 6c 2'
_cell_length_a 9.5004
_cell_length_b 9.5004
_cell_length_c 6.7145
_cell_angle_alpha 90.00
_cell_angle_beta 90.00
_cell_angle_gamma 120.00
loop_
_atom_site_label
_atom_site_type_symbol
_atom_site_fract_x
_atom_site_fract_y
_atom_site_fract_z
Sm1 Sm 0.0000 0.3029 0.2500
Sm2 Sm 0.3333 0.6667 0.0000
Mg1 Mg 0.0000 0.0000 0.0000
Tl1 Tl 0.0000 0.3586 0.7500

---

Entry 12:
# SmMgTl (PBE-GGA, optimized geometry)
# raw total energy	-37.0	eV for the cell shown
# calculated volume	357.13	Å³/cell
# mass density	7.0	g/cm3
# spin magnetization	0.00	μB/cell
data_SmMgTl
_chemical_formula_sum 'Sm4 Mg4 Tl4'
_space_group_name_H-M_alt 'F -4 3 m'
_space_group_IT_number 216
_space_group_name_Hall 'F -4 2 3'
_cell_length_a 7.095
_cell_length_b 7.095
_cell_length_c 7.095
_cell_angle_alpha 90.00
_cell_angle_beta 90.00
_cell_angle_gamma 90.00
loop_
_atom_site_label
_atom_site_type_symbol
_atom_site_fract_x
_atom_site_fract_y
_atom_site_fract_z
Sm1 Sm 0.000 0.000 0.000
Mg1 Mg 0.000 0.000 0.500
Tl1 Tl 0.250 0.250 0.750

---

> Which value of spin magnetization does entry 3 give?

0.00 μB/cell

---

> What is the formula in the second record?

SmMgSn2

---

> Look up the mass density of the second one.

6.7 g/cm3

---

> Look up the spin magnetization of the tenth one.

0.01 μB/cell